# TaCrPt2

A geometry-optimized TaCrPt2 structure (PBE, Alexandria via LeMat-Bulk).

Properties
Its symmetry is I-42d (122). Its crystal system is tetragonal. The calculation puts the total moment at 0.586 μB per atom. The energy above the most stable polymorph in this dataset comes out at 2.36 eV per formula unit.

a = 3.877 Å, b = 3.877 Å, c = 18.029 Å
α = 90.00°, β = 90.00°, γ = 90.00°
Positions (direct):
Ta: 0.000 0.000 0.000
Ta: 0.000 0.500 0.250
Ta: 0.500 0.000 0.750
Ta: 0.500 0.500 0.500
Cr: 0.000 0.000 0.500
Cr: 0.000 0.500 0.750
Cr: 0.500 0.000 0.250
Cr: 0.500 0.500 0.000
Pt: 0.242 0.250 0.625
Pt: 0.250 0.742 0.875
Pt: 0.250 0.758 0.375
Pt: 0.258 0.250 0.125
Pt: 0.742 0.750 0.125
Pt: 0.750 0.242 0.375
Pt: 0.750 0.258 0.875
Pt: 0.758 0.750 0.625